Here is a relaxed structure of MgTi2In2 from Alexandria via LeMat-Bulk. Energies are from PBE.

As for the space-group type: No. 127. As for the crystal system: tetragonal. The calculation puts the energy relative to the lowest polymorph listed for this composition at 0.0 kJ per mole of atoms. The total DFT energy (no corrections) comes out at -4.53 eV per atom. The formation energy is 0.04 eV/atom.

Lattice parameters (Å, degrees): 8.2176 8.2176 3.1513 90.00 90.00 90.00
Site moments in Bohr magnetons follow the coordinates.
Positions (direct):
Mg 0.0000 0.0000 0.0000  0.00
Mg 0.5000 0.5000 0.0000  0.00
Ti 0.3884 0.8884 0.0000  0.39
Ti 0.8884 0.6116 0.0000  0.39
Ti 0.6116 0.1116 0.0000  0.39
Ti 0.1116 0.3884 0.0000  0.39
In 0.1855 0.6855 0.5000  -0.01
In 0.6855 0.8145 0.5000  -0.01
In 0.8145 0.3145 0.5000  -0.01
In 0.3145 0.1855 0.5000  -0.01